[1]
VASP calculation (PBE-GGA) on a geometry-optimized CeOsW structure.

Lattice parameters (Å, degrees): 6.5046 6.5046 6.5046 152.65 152.65 39.07
With the nearest neighbours (Å) after each atom.
Fractional coordinates of all 3 atoms:
1 Ce 0.0000 0.0000 0.0000  4 Ce 3.08, 4 Os 3.17, 4 W 3.24
2 Os 0.3115 0.3115 0.0000  4 W 2.60
3 W 0.6958 0.6958 0.0000  4 Os 2.60

The value obtained for the density of states at the Fermi level is 1.202 states/eV/atom. The calculation puts the energy relative to the elements at 0.078 eV per atom. Its total energy is -9.961 eV/atom. The value obtained for the energy above the most stable polymorph in this dataset is 0.0 meV per atom.

=====

[2]
VASP calculation (PBE-GGA) on a geometry-optimized Th6TlNi structure.

Lattice parameters (Å, degrees): 6.9528 6.9528 6.7391 104.19 104.19 119.81
With the nearest neighbours (Å) after each atom.
Fractional coordinates of all 8 atoms:
1 Th 0.0030 0.4323 0.2362  1 Ni 3.02, 1 Th 3.15, 1 Tl 3.21
2 Th 0.2261 0.2261 0.7989  1 Ni 2.53
3 Th 0.4323 0.0030 0.2362  1 Ni 3.02, 1 Th 3.15, 1 Tl 3.21
4 Th 0.5677 0.9970 0.7638  1 Ni 3.02, 1 Th 3.15, 1 Tl 3.21
5 Th 0.7739 0.7739 0.2011  1 Ni 2.53
6 Th 0.9970 0.5677 0.7638  1 Ni 3.02, 1 Th 3.15, 1 Tl 3.21
7 Tl 0.5000 0.5000 0.5000  6 Th 3.21-3.39, 2 Ni 3.47
8 Ni 0.0000 0.0000 0.0000  2 Th 2.53

The value obtained for the density of states at the Fermi level is 1.454 states/eV/atom. The calculation puts the energy relative to the elements at 0.186 eV per atom. Its total energy is -6.397 eV/atom.

=====

[3]
VASP calculation (PBE-GGA) on a geometry-optimized TlBiP2S structure.

Lattice parameters (Å, degrees): 5.2072 5.2072 6.6261 90.00 90.00 90.00
With the nearest neighbours (Å) after each atom.
Fractional coordinates of all 5 atoms:
1 Tl 0.0000 0.0000 0.0000  2 Bi 3.31, 4 S 3.68
2 Bi 0.0000 0.0000 0.5000  4 P 2.60
3 P 0.0000 0.5000 0.5000  2 Bi 2.60
4 P 0.5000 0.0000 0.5000  2 Bi 2.60
5 S 0.5000 0.5000 0.0000  4 Tl 3.68

The energy relative to the elements, uncorrected comes out at 1.196 eV/atom. The value obtained for the density of states at the Fermi level is 0.996 states/eV/atom. Its total energy is -3.043 eV/atom. The value obtained for the energy above the most stable polymorph in this dataset is 397.0 meV per atom.

=====

[4]
VASP calculation (PBE-GGA) on a geometry-optimized LiFe6Ge6 structure.

Lattice parameters (Å, degrees): 8.6777 8.6777 7.9853 90.00 90.00 120.00
With the nearest neighbours (Å) after each atom.
Fractional coordinates of all 39 atoms:
1 Li 0.0000 0.0000 0.0000  8 Ge 2.70-2.84
2 Li 0.3333 0.6667 0.5000  8 Ge 2.70-2.87
3 Li 0.6667 0.3333 0.5000  8 Ge 2.70-2.87
4 Fe 0.0000 0.5000 0.2463  6 Ge 2.46-2.59, 4 Fe 2.50
5 Fe 0.0000 0.5000 0.7537  6 Ge 2.46-2.59, 4 Fe 2.50
6 Fe 0.1669 0.3338 0.2521  6 Ge 2.46-2.60, 4 Fe 2.50-2.51
7 Fe 0.1669 0.3338 0.7479  6 Ge 2.46-2.60, 4 Fe 2.50-2.51
8 Fe 0.1669 0.8331 0.2521  6 Ge 2.46-2.60, 4 Fe 2.50-2.51
9 Fe 0.1669 0.8331 0.7479  6 Ge 2.46-2.60, 4 Fe 2.50-2.51
10 Fe 0.3338 0.1669 0.2521  6 Ge 2.46-2.60, 4 Fe 2.50-2.51
11 Fe 0.3338 0.1669 0.7479  6 Ge 2.46-2.60, 4 Fe 2.50-2.51
12 Fe 0.5000 0.0000 0.2463  6 Ge 2.46-2.59, 4 Fe 2.50
13 Fe 0.5000 0.0000 0.7537  6 Ge 2.46-2.59, 4 Fe 2.50
14 Fe 0.5000 0.5000 0.2463  6 Ge 2.46-2.59, 4 Fe 2.50
15 Fe 0.5000 0.5000 0.7537  6 Ge 2.46-2.59, 4 Fe 2.50
16 Fe 0.6662 0.8331 0.2521  6 Ge 2.46-2.60, 4 Fe 2.50-2.51
17 Fe 0.6662 0.8331 0.7479  6 Ge 2.46-2.60, 4 Fe 2.50-2.51
18 Fe 0.8331 0.1669 0.2521  6 Ge 2.46-2.60, 4 Fe 2.50-2.51
19 Fe 0.8331 0.1669 0.7479  6 Ge 2.46-2.60, 4 Fe 2.50-2.51
20 Fe 0.8331 0.6662 0.2521  6 Ge 2.46-2.60, 4 Fe 2.50-2.51
21 Fe 0.8331 0.6662 0.7479  6 Ge 2.46-2.60, 4 Fe 2.50-2.51
22 Ge 0.0000 0.0000 0.3387  1 Ge 2.58, 6 Fe 2.60, 1 Li 2.70
23 Ge 0.0000 0.0000 0.6613  1 Ge 2.58, 6 Fe 2.60, 1 Li 2.70
24 Ge 0.0000 0.3276 0.0000  6 Fe 2.46-2.47
25 Ge 0.0000 0.3392 0.5000  6 Fe 2.46-2.47
26 Ge 0.0000 0.6608 0.5000  6 Fe 2.46-2.47
27 Ge 0.0000 0.6724 0.0000  6 Fe 2.46-2.47
28 Ge 0.3276 0.0000 0.0000  6 Fe 2.46-2.47
29 Ge 0.3276 0.3276 0.0000  6 Fe 2.46-2.47
30 Ge 0.3333 0.6667 0.1624  6 Fe 2.59-2.60, 1 Ge 2.59, 1 Li 2.70
31 Ge 0.3333 0.6667 0.8376  6 Fe 2.59-2.60, 1 Ge 2.59, 1 Li 2.70
32 Ge 0.3392 0.0000 0.5000  6 Fe 2.46-2.47
33 Ge 0.3392 0.3392 0.5000  6 Fe 2.46-2.47
34 Ge 0.6608 0.0000 0.5000  6 Fe 2.46-2.47
35 Ge 0.6608 0.6608 0.5000  6 Fe 2.46-2.47
36 Ge 0.6667 0.3333 0.1624  6 Fe 2.59-2.60, 1 Ge 2.59, 1 Li 2.70
37 Ge 0.6667 0.3333 0.8376  6 Fe 2.59-2.60, 1 Ge 2.59, 1 Li 2.70
38 Ge 0.6724 0.0000 0.0000  6 Fe 2.46-2.47
39 Ge 0.6724 0.6724 0.0000  6 Fe 2.46-2.47

The value obtained for the density of states at the Fermi level is 0.477 states/eV/atom. The calculation puts the energy relative to the elements at -0.187 eV per atom. Its total energy is -6.371 eV/atom. The value obtained for the energy above the most stable polymorph in this dataset is 0.0 meV per atom.